# 1
DFT (SCAN) results for SiPbBr2 at its PBEsol-relaxed geometry.

Its distance to the lowest polymorph of the same formula is 0 meV per atom. Its density of states at the Fermi level is 0.81 states/eV/cell. For the size of the total moment, the calculation gives 0.0 μB per cell. The symmetry is Pm. For the formation energy without anion corrections, the calculation gives -0.186 eV/atom.

a = 3.6571 Å, b = 4.4046 Å, c = 8.0353 Å
α = 90.00°, β = 102.87°, γ = 90.00°
Positions (direct):
Si 0.0000 0.0000 0.0000
Pb 0.5425 0.5000 0.0872
Br 0.1832 0.5000 0.3726
Br 0.8598 0.0000 0.7135

=====

# 2
DFT (SCAN) results for SiPbBr2 at its PBEsol-relaxed geometry.

Its distance to the lowest polymorph of the same formula is 361 meV per atom. Its density of states at the Fermi level is 4.05 states/eV/cell. For the size of the total moment, the calculation gives 0.0 μB per cell. The symmetry is I-42d. For the formation energy without anion corrections, the calculation gives 0.175 eV/atom.

a = 10.1495 Å, b = 10.1495 Å, c = 10.1495 Å
α = 152.55°, β = 152.55°, γ = 39.21°
Positions (direct):
Si 0.0000 0.0000 0.0000
Si 0.7500 0.2500 0.5000
Pb 0.2500 0.7500 0.5000
Pb 0.5000 0.5000 0.0000
Br 0.1026 0.6250 0.9776
Br 0.3750 0.3526 0.4776
Br 0.6474 0.1250 0.0224
Br 0.8750 0.8974 0.5224

=====

# 3
DFT (SCAN) results for Si2PbBr at its PBEsol-relaxed geometry.

Its distance to the lowest polymorph of the same formula is 0 meV per atom. Its density of states at the Fermi level is 2.02 states/eV/cell. For the size of the total moment, the calculation gives 0.0 μB per cell. The symmetry is F-43m. For the formation energy without anion corrections, the calculation gives 0.703 eV/atom.

a = 4.9517 Å, b = 4.9517 Å, c = 4.9517 Å
α = 60.00°, β = 60.00°, γ = 60.00°
Positions (direct):
Si 0.0000 0.0000 0.0000
Si 0.2500 0.2500 0.2500
Pb 0.5000 0.5000 0.5000
Br 0.7500 0.7500 0.7500

=====

# 4
DFT (SCAN) results for SiPbBr2 at its PBEsol-relaxed geometry.

Its distance to the lowest polymorph of the same formula is 131 meV per atom. Its density of states at the Fermi level is 0.50 states/eV/cell. For the size of the total moment, the calculation gives 0.0 μB per cell. The symmetry is Immm. For the formation energy without anion corrections, the calculation gives -0.054 eV/atom.

a = 6.7359 Å, b = 6.7359 Å, c = 6.7359 Å
α = 147.63°, β = 136.11°, γ = 55.58°
Positions (direct):
Si 0.0000 0.0000 0.0000
Pb 0.5000 0.5000 0.0000
Br 0.1679 0.6680 0.5000
Br 0.8320 0.3320 0.5000

=====

# 5
DFT (SCAN) results for SiPbBr2 at its PBEsol-relaxed geometry.

Its distance to the lowest polymorph of the same formula is 474 meV per atom. Its density of states at the Fermi level is 2.81 states/eV/cell. For the size of the total moment, the calculation gives 0.0 μB per cell. The symmetry is P4/mmm. For the formation energy without anion corrections, the calculation gives 0.288 eV/atom.

a = 4.8693 Å, b = 4.8693 Å, c = 4.1231 Å
α = 90.00°, β = 90.00°, γ = 90.00°
Positions (direct):
Si 0.0000 0.0000 0.0000
Pb 0.5000 0.5000 0.0000
Br 0.0000 0.5000 0.5000
Br 0.5000 0.0000 0.5000

=====

# 6
DFT (SCAN) results for Sr2PbBr at its PBEsol-relaxed geometry.

Its distance to the lowest polymorph of the same formula is 58 meV per atom. Its density of states at the Fermi level is 2.55 states/eV/cell. For the size of the total moment, the calculation gives 0.0 μB per cell. The symmetry is Amm2. For the formation energy without anion corrections, the calculation gives -1.232 eV/atom.

a = 5.4960 Å, b = 6.5928 Å, c = 6.5928 Å
α = 34.17°, β = 90.00°, γ = 90.00°
Positions (direct):
Sr 0.0000 0.0000 0.0000
Sr 0.5000 0.2503 0.2503
Pb 0.5000 0.5167 0.5167
Br 0.0000 0.7568 0.7568